A relaxed structure of Sm5Hg2Ir2Pd. Source: Alexandria via LeMat-Bulk, functional PBE.

* magnetization: 0.00 μB per cell
* ΔE_f: -557 meV per atom

Cell lengths 11.765, 11.765, 3.732 Å; angles 90.00, 90.00, 90.00 degrees
Positions (direct):
Sm1 0.000 0.500 0.000
Sm2 0.085 0.195 0.000
Sm3 0.195 0.915 0.000
Sm4 0.305 0.415 0.000
Sm5 0.415 0.695 0.000
Sm6 0.500 0.000 0.000
Sm7 0.585 0.305 0.000
Sm8 0.695 0.585 0.000
Sm9 0.805 0.085 0.000
Sm10 0.915 0.805 0.000
Hg1 0.171 0.671 0.500
Hg2 0.329 0.171 0.500
Hg3 0.671 0.829 0.500
Hg4 0.829 0.329 0.500
Ir1 0.134 0.366 0.500
Ir2 0.366 0.866 0.500
Ir3 0.634 0.134 0.500
Ir4 0.866 0.634 0.500
Pd1 0.000 0.000 0.500
Pd2 0.500 0.500 0.500

A relaxed structure of SiAg2Sb. Source: Alexandria via LeMat-Bulk, functional PBE.

* energy above the lowest structure with this stoichiometry: 48.7 meV/atom
* formation energy from raw total energies: 6.749 kcal/mol of atoms
* magnetization: 0.00 μB per cell

Cell lengths 8.949, 8.949, 8.949 Å; angles 21.01, 21.01, 21.01 degrees
Positions (direct):
Si1 0.000 0.000 0.000
Ag1 0.263 0.263 0.263
Ag2 0.512 0.512 0.512
Sb1 0.750 0.750 0.750

A relaxed structure of Pr2DyAl2. Source: Alexandria via LeMat-Bulk, functional PBE.

* magnetization: 0.00 μB per cell
* ΔE_f: -302 meV per atom

Cell lengths 5.878, 5.878, 5.878 Å; angles 130.06, 108.51, 92.23 degrees
Positions (direct):
Pr1 0.198 0.198 0.000
Pr2 0.802 0.802 0.000
Dy1 0.500 0.000 0.500
Al1 0.198 0.500 0.698
Al2 0.802 0.500 0.302

A relaxed structure of UTi4N6. Source: Alexandria via LeMat-Bulk, functional PBE.

* formation energy from raw total energies: -35.859 kcal/mol of atoms
* magnetization: 1.91 μB per cell

Cell lengths 5.220, 5.220, 15.144 Å; angles 90.00, 90.00, 145.98 degrees
Positions (direct):
U1 0.163 0.837 0.750
U2 0.837 0.163 0.250
Ti1 0.095 0.905 0.126
Ti2 0.095 0.905 0.374
Ti3 0.361 0.639 0.045
Ti4 0.361 0.639 0.455
Ti5 0.639 0.361 0.545
Ti6 0.639 0.361 0.955
Ti7 0.905 0.095 0.626
Ti8 0.905 0.095 0.874
N1 0.000 0.000 0.000
N2 0.000 0.000 0.500
N3 0.177 0.823 0.250
N4 0.269 0.731 0.587
N5 0.269 0.731 0.913
N6 0.460 0.540 0.162
N7 0.460 0.540 0.338
N8 0.540 0.460 0.662
N9 0.540 0.460 0.838
N10 0.731 0.269 0.087
N11 0.731 0.269 0.413
N12 0.823 0.177 0.750

A relaxed structure of TmTl4F7. Source: Alexandria via LeMat-Bulk, functional PBE.

* formation energy from raw total energies: -59.248 kcal/mol of atoms
* magnetization: 0.00 μB per cell

Cell lengths 7.133, 7.133, 10.962 Å; angles 117.64, 117.64, 35.37 degrees
Positions (direct):
Tm1 0.000 0.000 0.000
Tl1 0.191 0.191 0.804
Tl2 0.393 0.393 0.588
Tl3 0.607 0.607 0.412
Tl4 0.809 0.809 0.196
F1 0.026 0.026 0.209
F2 0.180 0.180 0.076
F3 0.209 0.209 0.580
F4 0.500 0.500 0.000
F5 0.791 0.791 0.420
F6 0.820 0.820 0.924
F7 0.974 0.974 0.791

A relaxed structure of CsRbW3. Source: Alexandria via LeMat-Bulk, functional PBE.

* energy above the lowest structure with this stoichiometry: 0.0 meV/atom
* magnetization: 0.00 μB per cell
* ΔE_f: 3979 meV per atom

Cell lengths 5.132, 5.132, 5.132 Å; angles 90.00, 90.00, 90.00 degrees
Positions (direct):
Cs1 0.000 0.000 0.000
Rb1 0.500 0.500 0.500
W1 0.000 0.000 0.500
W2 0.000 0.500 0.000
W3 0.500 0.000 0.000

A relaxed structure of Er2FeRu3. Source: Alexandria via LeMat-Bulk, functional PBE.

* magnetization: 3.16 μB per cell
* ΔE_f: -306 meV per atom

Cell lengths 5.316, 5.316, 8.461 Å; angles 90.00, 90.00, 120.00 degrees
Positions (direct):
Er1 0.333 0.667 0.066
Er2 0.333 0.667 0.434
Er3 0.667 0.333 0.566
Er4 0.667 0.333 0.934
Fe1 0.000 0.000 0.000
Fe2 0.000 0.000 0.500
Ru1 0.170 0.340 0.750
Ru2 0.170 0.830 0.750
Ru3 0.340 0.170 0.250
Ru4 0.660 0.830 0.750
Ru5 0.830 0.170 0.250
Ru6 0.830 0.660 0.250

A relaxed structure of SrAcSiAu. Source: Alexandria via LeMat-Bulk, functional PBE.

* formation energy from raw total energies: -13.703 kcal/mol of atoms
* magnetization: 0.00 μB per cell

Cell lengths 5.461, 5.461, 5.461 Å; angles 60.00, 60.00, 60.00 degrees
Positions (direct):
Sr1 0.000 0.000 0.000
Ac1 0.500 0.500 0.500
Si1 0.750 0.750 0.750
Au1 0.250 0.250 0.250

A relaxed structure of CaPrAl3O7. Source: Alexandria via LeMat-Bulk, functional PBE.

* formation energy from raw total energies: -72.365 kcal/mol of atoms
* magnetization: 0.00 μB per cell

Cell lengths 7.843, 7.843, 5.175 Å; angles 90.00, 90.00, 91.07 degrees
Positions (direct):
Ca1 0.159 0.159 0.000
Ca2 0.841 0.841 0.000
Pr1 0.337 0.663 0.029
Pr2 0.663 0.337 0.029
Al1 0.000 0.500 0.525
Al2 0.141 0.859 0.478
Al3 0.354 0.354 0.558
Al4 0.500 0.000 0.525
Al5 0.646 0.646 0.558
Al6 0.859 0.141 0.478
O1 0.000 0.000 0.331
O2 0.094 0.660 0.327
O3 0.143 0.857 0.815
O4 0.163 0.412 0.718
O5 0.340 0.906 0.327
O6 0.361 0.361 0.220
O7 0.412 0.163 0.718
O8 0.500 0.500 0.702
O9 0.588 0.837 0.718
O10 0.639 0.639 0.220
O11 0.660 0.094 0.327
O12 0.837 0.588 0.718
O13 0.857 0.143 0.815
O14 0.906 0.340 0.327

A relaxed structure of BeTe2. Source: Alexandria via LeMat-Bulk, functional PBE.

* energy above the lowest structure with this stoichiometry: 239.8 meV/atom
* formation energy from raw total energies: 2.203 kcal/mol of atoms
* magnetization: 0.00 μB per cell

Cell lengths 6.539, 6.539, 5.808 Å; angles 90.00, 90.00, 145.57 degrees
Positions (direct):
Be1 0.177 0.823 0.750
Be2 0.823 0.177 0.250
Te1 0.188 0.812 0.250
Te2 0.463 0.537 0.250
Te3 0.537 0.463 0.750
Te4 0.812 0.188 0.750

A relaxed structure of CaLaNiAu. Source: Alexandria via LeMat-Bulk, functional PBE.

* energy above the lowest structure with this stoichiometry: 76.6 meV/atom
* magnetization: 0.00 μB per cell
* ΔE_f: -452 meV per atom

Cell lengths 5.121, 5.121, 5.121 Å; angles 60.00, 60.00, 60.00 degrees
Positions (direct):
Ca1 0.000 0.000 0.000
La1 0.500 0.500 0.500
Ni1 0.250 0.250 0.250
Au1 0.750 0.750 0.750

A relaxed structure of MgTl2InPd. Source: Alexandria via LeMat-Bulk, functional PBE.

* magnetization: 0.00 μB per cell
* ΔE_f: -16 meV per atom

Cell lengths 5.300, 5.300, 5.079 Å; angles 90.00, 90.00, 90.00 degrees
Positions (direct):
Mg1 0.000 0.000 0.000
Tl1 0.000 0.500 0.500
Tl2 0.500 0.000 0.500
In1 0.500 0.500 0.000
Pd1 0.000 0.000 0.500

A relaxed structure of TiBe. Source: Alexandria via LeMat-Bulk, functional PBE.

* energy above the lowest structure with this stoichiometry: 80.3 meV/atom
* magnetization: 0.80 μB per cell
* ΔE_f: -66 meV per atom

Cell lengths 4.997, 4.997, 3.662 Å; angles 90.00, 90.00, 145.32 degrees
Positions (direct):
Ti1 0.160 0.840 0.750
Ti2 0.840 0.160 0.250
Be1 0.438 0.562 0.750
Be2 0.562 0.438 0.250

A relaxed structure of Ac2PPd6. Source: Alexandria via LeMat-Bulk, functional PBE.

* magnetization: 0.00 μB per cell
* ΔE_f: -810 meV per atom

Cell lengths 6.331, 6.331, 6.331 Å; angles 60.00, 60.00, 60.00 degrees
Positions (direct):
Ac1 0.250 0.250 0.250
Ac2 0.750 0.750 0.750
P1 0.000 0.000 0.000
Pd1 0.270 0.270 0.730
Pd2 0.270 0.730 0.270
Pd3 0.270 0.730 0.730
Pd4 0.730 0.270 0.270
Pd5 0.730 0.270 0.730
Pd6 0.730 0.730 0.270

A relaxed structure of ZrTiFe. Source: Alexandria via LeMat-Bulk, functional PBE.

* energy above the lowest structure with this stoichiometry: 358.2 meV/atom
* magnetization: 0.00 μB per cell
* ΔE_f: 142 meV per atom

Cell lengths 6.696, 6.696, 6.696 Å; angles 50.33, 50.33, 50.33 degrees
Positions (direct):
Zr1 0.009 0.331 0.660
Zr2 0.331 0.660 0.009
Zr3 0.660 0.009 0.331
Ti1 0.124 0.877 0.518
Ti2 0.518 0.124 0.877
Ti3 0.877 0.518 0.124
Fe1 0.093 0.093 0.093
Fe2 0.435 0.435 0.435
Fe3 0.574 0.574 0.574

A relaxed structure of Cu2SiBr. Source: Alexandria via LeMat-Bulk, functional PBE.

* energy above the lowest structure with this stoichiometry: 387.3 meV/atom
* formation energy from raw total energies: 7.198 kcal/mol of atoms
* magnetization: 0.00 μB per cell

Cell lengths 3.466, 3.466, 7.650 Å; angles 90.00, 90.00, 125.84 degrees
Positions (direct):
Cu1 0.000 0.000 0.230
Cu2 0.000 0.000 0.770
Si1 0.500 0.500 0.000
Br1 0.500 0.500 0.500

A relaxed structure of MgSnSBr2. Source: Alexandria via LeMat-Bulk, functional PBE.

* formation energy from raw total energies: 1.176 kcal/mol of atoms
* magnetization: 0.00 μB per cell

Cell lengths 6.082, 6.082, 4.407 Å; angles 90.00, 90.00, 90.00 degrees
Positions (direct):
Mg1 0.000 0.000 0.000
Sn1 0.500 0.500 0.000
S1 0.000 0.000 0.500
Br1 0.000 0.500 0.500
Br2 0.500 0.000 0.500

A relaxed structure of Mg2BePb2. Source: Alexandria via LeMat-Bulk, functional PBE.

* magnetization: 0.00 μB per cell
* ΔE_f: 314 meV per atom

Cell lengths 7.063, 7.063, 4.927 Å; angles 90.00, 90.00, 90.00 degrees
Positions (direct):
Mg1 0.160 0.340 0.000
Mg2 0.340 0.840 0.000
Mg3 0.660 0.160 0.000
Mg4 0.840 0.660 0.000
Be1 0.000 0.000 0.500
Be2 0.500 0.500 0.500
Pb1 0.160 0.660 0.500
Pb2 0.340 0.160 0.500
Pb3 0.660 0.840 0.500
Pb4 0.840 0.340 0.500